Material: La2DyEr3Tm6
Method: DFT, GGA-PBE
State: optimized geometry

Cell lengths 6.1399, 6.1399, 11.6940 Å; angles 95.01, 95.01, 119.97 degrees
Sites, in units of the cell vectors:
La 0.1666 0.8334 0.0000
La 0.8334 0.1666 0.0000
Dy 0.5000 0.5000 0.0000
Er 0.0000 0.0000 0.5000
Er 0.3335 0.6665 0.5000
Er 0.6665 0.3335 0.5000
Tm 0.0824 0.4146 0.7450
Tm 0.2533 0.2533 0.2551
Tm 0.4146 0.0824 0.7450
Tm 0.5854 0.9176 0.2550
Tm 0.7467 0.7467 0.7449
Tm 0.9176 0.5854 0.2550

Properties
Final energy = -54.6 eV for the cell shown
ΔE_f = 0.0287 eV per atom